Record 1
Computed, not measured: NiAg3F6 after structural relaxation at the PBE+U level of DFT.

Unit cell a=5.541 b=5.838 c=8.818 alpha=90.00 beta=89.33 gamma=90.00
Each line ends with the local moment (μB).
Sites, in units of the cell vectors:
Ni (0.500, 0.500, 0.500)  1.81
Ni (0.000, 0.000, 0.000)  1.81
Ag (0.476, 0.077, 0.760)  0.14
Ag (0.500, 0.500, 0.000)  -0.24
Ag (0.524, 0.923, 0.240)  0.14
Ag (0.976, 0.423, 0.260)  0.14
Ag (0.000, 0.000, 0.500)  -0.24
Ag (0.024, 0.577, 0.740)  0.14
F (0.291, 0.811, 0.932)  0.00
F (0.327, 0.783, 0.580)  -0.01
F (0.359, 0.568, 0.293)  0.07
F (0.641, 0.432, 0.707)  0.07
F (0.673, 0.217, 0.420)  -0.01
F (0.709, 0.189, 0.068)  0.00
F (0.791, 0.689, 0.432)  0.00
F (0.827, 0.717, 0.080)  -0.01
F (0.859, 0.932, 0.793)  0.07
F (0.141, 0.068, 0.207)  0.07
F (0.173, 0.283, 0.920)  -0.01
F (0.209, 0.311, 0.568)  0.00

Results
Its space group is No. 14. As for the crystal system: monoclinic. The calculation puts the total energy at -3.62 eV/atom. The calculation puts the total magnetization at 4.00 μB per cell.


Record 2
Computed, not measured: Ni3AgF after structural relaxation at the PBE+U level of DFT.

Unit cell a=4.108 b=4.108 c=4.108 alpha=90.00 beta=90.00 gamma=90.00
Each line ends with the local moment (μB).
Sites, in units of the cell vectors:
Ni (0.000, 0.500, 0.000)  0.95
Ni (0.000, 0.000, 0.500)  1.02
Ni (0.500, 0.000, 0.000)  0.93
Ag (0.500, 0.500, 0.500)  -0.01
F (0.000, 0.000, 0.000)  0.03

Results
Its space group is No. 221. As for the crystal system: cubic. The calculation puts the total energy at -2.31 eV/atom. For the energy above the lowest structure with this stoichiometry, the calculation gives 0 meV per atom. The calculation puts the total magnetization at 2.70 μB per cell.


Record 3
Computed, not measured: Ni3Ag5F12 after structural relaxation at the PBE+U level of DFT.

Unit cell a=3.138 b=9.963 c=9.963 alpha=120.00 beta=90.00 gamma=90.00
Each line ends with the local moment (μB).
Sites, in units of the cell vectors:
Ni (0.500, 0.662, 0.000)  1.82
Ni (0.500, 0.338, 0.338)  1.82
Ni (0.500, 0.000, 0.662)  1.82
Ag (0.000, 0.333, 0.667)  0.07
Ag (0.000, 0.667, 0.333)  0.07
Ag (0.000, 0.278, 0.000)  0.08
Ag (0.000, 0.722, 0.722)  0.08
Ag (0.000, 0.000, 0.278)  0.08
F (0.000, 0.799, 0.000)  0.06
F (0.000, 0.201, 0.201)  0.06
F (0.000, 0.000, 0.799)  0.06
F (0.000, 0.534, 0.000)  0.06
F (0.000, 0.466, 0.466)  0.06
F (0.000, 0.000, 0.534)  0.06
F (0.500, 0.212, 0.445)  0.05
F (0.500, 0.234, 0.788)  0.05
F (0.500, 0.788, 0.234)  0.05
F (0.500, 0.555, 0.766)  0.05
F (0.500, 0.766, 0.555)  0.05
F (0.500, 0.445, 0.212)  0.05

Results
Its space group is No. 189. As for the crystal system: hexagonal. The calculation puts the total energy at -3.76 eV/atom. The calculation puts the total magnetization at 6.58 μB per cell.


Record 4
Computed, not measured: NiAg3F7 after structural relaxation at the PBE+U level of DFT.

Unit cell a=5.353 b=5.353 c=6.241 alpha=69.88 beta=69.88 gamma=83.40
Each line ends with the local moment (μB).
Sites, in units of the cell vectors:
Ni (0.011, 0.011, 0.977)  1.83
Ag (0.812, 0.211, 0.477)  0.02
Ag (0.511, 0.511, 0.976)  0.41
Ag (0.211, 0.812, 0.477)  0.02
F (0.215, 0.215, 0.088)  0.10
F (0.694, 0.108, 0.224)  0.05
F (0.916, 0.329, 0.730)  0.05
F (0.108, 0.694, 0.224)  0.05
F (0.511, 0.511, 0.480)  0.01
F (0.329, 0.916, 0.730)  0.05
F (0.808, 0.808, 0.867)  0.10

Results
Its space group is No. 8. As for the crystal system: monoclinic. The calculation puts the total energy at -3.55 eV/atom. The calculation puts the total magnetization at 2.75 μB per cell.


Record 5
Computed, not measured: Ni3Ag2F8 after structural relaxation at the PBE+U level of DFT.

Unit cell a=5.285 b=6.409 c=6.409 alpha=58.08 beta=90.40 gamma=90.40
Each line ends with the local moment (μB).
Sites, in units of the cell vectors:
Ni (0.500, 0.000, 0.000)  1.82
Ni (0.000, 0.745, 0.255)  1.82
Ni (0.000, 0.255, 0.745)  1.82
Ag (0.497, 0.722, 0.722)  -0.06
Ag (0.503, 0.278, 0.278)  -0.06
F (0.869, 0.401, 0.401)  0.05
F (0.131, 0.599, 0.599)  0.05
F (0.830, 0.906, 0.906)  0.07
F (0.170, 0.094, 0.094)  0.07
F (0.681, 0.322, 0.874)  0.05
F (0.681, 0.874, 0.322)  0.05
F (0.319, 0.126, 0.678)  0.05
F (0.319, 0.678, 0.126)  0.05

Results
Its space group is No. 12. As for the crystal system: monoclinic. The calculation puts the total energy at -3.96 eV/atom. The calculation puts the total magnetization at 5.82 μB per cell.


Record 6
Computed, not measured: Ni2AgF8 after structural relaxation at the PBE+U level of DFT.

Unit cell a=4.187 b=5.825 c=5.825 alpha=72.85 beta=88.58 gamma=88.58
Each line ends with the local moment (μB).
Sites, in units of the cell vectors:
Ni (0.234, 0.619, 0.619)  1.77
Ni (0.766, 0.381, 0.381)  1.77
Ag (0.000, 0.000, 0.000)  -0.34
F (0.232, 0.894, 0.329)  -0.09
F (0.232, 0.329, 0.894)  -0.09
F (0.768, 0.106, 0.671)  -0.09
F (0.261, 0.406, 0.406)  0.05
F (0.768, 0.671, 0.106)  -0.09
F (0.285, 0.827, 0.827)  0.01
F (0.715, 0.173, 0.173)  0.01
F (0.739, 0.594, 0.594)  0.05

Results
Its space group is No. 12. As for the crystal system: monoclinic. The calculation puts the total energy at -3.57 eV/atom. The calculation puts the total magnetization at 2.99 μB per cell.